Density functional theory data (GGA-PBE) for crystalline Ba2SrTlIr at its relaxed geometry.

abc: 6.1530 6.1530 5.4456
angles: 90.00 90.00 90.00
Last column: nearest neighbours and their distance in Å.
Space group P4/mmm (No. 123)
One atom of each set of equivalent atoms:
1 Ba 0.0000 0.5000 0.0000 (multiplicity 2)  2 Ir 3.08
2 Sr 0.0000 0.0000 0.5000 (multiplicity 1)  8 Ba 4.11, 4 Tl 4.35
3 Tl 0.5000 0.5000 0.5000 (multiplicity 1)  2 Ir 2.72
4 Ir 0.5000 0.5000 0.0000 (multiplicity 1)  2 Tl 2.72

Computed properties:
* total magnetization: 0.00 μB per cell
* final energy: -0.250 Ry per atom
* formation enthalpy at 0 K: -0.047 eV/atom
* polymorph energy (0 for the lowest one): 99.2 meV per atom
* V: 206 Å³/cell
* DOS at the Fermi energy: 0.965 states/eV/atom